# 1
CdPSe2 | PBE | relaxed

* M_tot: 0.00 Bohr magnetons per cell
* polymorph energy (0 for the lowest one): 0.2520 eV/atom
* energy relative to the elements, uncorrected: 21 kJ/mol of atoms
* DOS(E_F): 0.711 states/eV per atom

Cell: 8.0921 8.0921 8.0921 Å, 29.04 29.04 29.04°
Closest atoms and distances in Å follow each position.
Sites, in units of the cell vectors:
Cd 0.5000 0.5000 0.5000  6 Se 2.81
Se 0.0996 0.0996 0.0996  1 P 2.31
Se 0.9004 0.9004 0.9004  1 P 2.31
P 0.0000 0.0000 0.0000  2 Se 2.31

# 2
La4Sm3Ho2 | PBE | relaxed

* M_tot: 0.00 Bohr magnetons per cell
* DFT formation energy: 0.0257 eV per atom
* polymorph energy (0 for the lowest one): 0.0000 eV/atom
* DOS(E_F): 1.758 states/eV per atom

Cell: 5.1993 8.1347 8.1897 Å, 107.36 108.51 90.00°
Closest atoms and distances in Å follow each position.
Sites, in units of the cell vectors:
La 0.4456 0.6706 0.8912  6 Sm 3.64-3.70, 2 Ho 3.64, 4 La 3.68-3.69
La 0.7764 0.6691 0.5529  3 Ho 3.59-3.65, 4 Sm 3.65-3.69, 5 La 3.68-3.69
La 0.2236 0.3309 0.4471  3 Ho 3.59-3.65, 4 Sm 3.65-3.69, 5 La 3.68-3.69
La 0.5544 0.3294 0.1088  6 Sm 3.64-3.70, 2 Ho 3.64, 4 La 3.68-3.69
Sm 0.8879 0.3295 0.7759  3 Ho 3.62-3.64, 2 Sm 3.63-3.71, 7 La 3.65-3.70
Sm 0.1121 0.6705 0.2241  3 Ho 3.62-3.64, 2 Sm 3.63-3.71, 7 La 3.65-3.70
Sm 0.0000 0.0000 0.0000  2 Sm 3.63, 6 La 3.64-3.66, 4 Ho 3.68
Ho 0.6679 0.9996 0.3358  5 La 3.59-3.65, 5 Sm 3.62-3.68, 2 Ho 3.64
Ho 0.3321 0.0004 0.6642  5 La 3.59-3.65, 5 Sm 3.62-3.68, 2 Ho 3.64

# 3
Th2AlCu | PBE | relaxed

* M_tot: 0.00 Bohr magnetons per cell
* DFT formation energy: 0.3726 eV per atom
* DOS(E_F): 1.009 states/eV per atom

Cell: 3.3616 3.3616 11.0803 Å, 81.27 81.27 60.00°
Closest atoms and distances in Å follow each position.
Sites, in units of the cell vectors:
Cu 0.5000 0.5000 0.5000  6 Th 3.01, 6 Cu 3.36
Al 0.0000 0.0000 0.0000  2 Th 3.16, 6 Al 3.36
Th 0.0965 0.0965 0.7106  3 Cu 3.01, 1 Al 3.16, 6 Th 3.36
Th 0.9035 0.9035 0.2894  3 Cu 3.01, 1 Al 3.16, 6 Th 3.36

# 4
PmPaH | PBE | relaxed

* calculated total energy: -0.2154 hartree per atom
* M_tot: 0.01 Bohr magnetons per cell
* DOS(E_F): 1.777 states/eV per atom

Cell: 4.7920 4.7939 5.2665 Å, 90.00 90.00 90.00°
Closest atoms and distances in Å follow each position.
Sites, in units of the cell vectors:
Pm 0.0000 0.0000 0.5003  2 H 2.63-2.64
Pm 0.5000 0.5000 0.4997  2 H 2.63-2.64
Pa 0.0000 0.5000 0.0000  4 H 2.40
Pa 0.5000 0.0000 0.0000  4 H 2.40
H 0.0000 0.0000 0.9999  4 Pa 2.40, 2 Pm 2.63-2.64
H 0.5000 0.5000 0.0001  4 Pa 2.40, 2 Pm 2.63-2.64

# 5
CdIn6Hg8 | PBE | relaxed

* M_tot: 0.00 Bohr magnetons per cell
* DFT formation energy: 0.0287 eV per atom
* polymorph energy (0 for the lowest one): 0.0000 eV/atom
* DOS(E_F): 0.394 states/eV per atom

Cell: 8.5306 8.5306 8.4116 Å, 59.53 59.53 60.00°
Closest atoms and distances in Å follow each position.
Sites, in units of the cell vectors:
Hg 0.4502 0.7924 0.6273  4 In 3.11-3.17, 3 Hg 3.32-3.36
Hg 0.6625 0.6625 0.0125  6 In 3.05-3.07
Hg 0.3375 0.3375 0.9875  6 In 3.05-3.07
Hg 0.2076 0.8699 0.3727  4 In 3.11-3.17, 3 Hg 3.32-3.36
Hg 0.1301 0.4502 0.6273  4 In 3.11-3.17, 3 Hg 3.32-3.36
Hg 0.5498 0.2076 0.3727  4 In 3.11-3.17, 3 Hg 3.32-3.36
Hg 0.7924 0.1301 0.6273  4 In 3.11-3.17, 3 Hg 3.32-3.36
Hg 0.8699 0.5498 0.3727  4 In 3.11-3.17, 3 Hg 3.32-3.36
In 0.9503 0.2757 0.1707  6 Hg 3.05-3.17, 1 Cd 3.10
In 0.2757 0.6033 0.1707  6 Hg 3.05-3.17, 1 Cd 3.10
In 0.0497 0.7243 0.8293  6 Hg 3.05-3.17, 1 Cd 3.10
In 0.6033 0.9503 0.1707  6 Hg 3.05-3.17, 1 Cd 3.10
In 0.3967 0.0497 0.8293  6 Hg 3.05-3.17, 1 Cd 3.10
In 0.7243 0.3967 0.8293  6 Hg 3.05-3.17, 1 Cd 3.10
Cd 0.0000 0.0000 0.0000  6 In 3.10

# 6
CaAcMgCd | PBE | relaxed

* M_tot: 0.00 Bohr magnetons per cell
* DFT formation energy: -0.2146 eV per atom
* DOS(E_F): 0.828 states/eV per atom

Cell: 5.6717 5.6717 5.6717 Å, 60.00 60.00 60.00°
Closest atoms and distances in Å follow each position.
Sites, in units of the cell vectors:
Cd 0.7500 0.7500 0.7500  4 Ac 3.47, 4 Ca 3.47
Ac 0.5000 0.5000 0.5000  4 Cd 3.47, 4 Mg 3.47
Ca 0.0000 0.0000 0.0000  4 Cd 3.47, 4 Mg 3.47
Mg 0.2500 0.2500 0.2500  4 Ac 3.47, 4 Ca 3.47

# 7
SrPuTeO2 | PBE | relaxed

* M_tot: 3.99 Bohr magnetons per cell
* energy relative to the elements, uncorrected: -236 kJ/mol of atoms
* DOS(E_F): 0.834 states/eV per atom

Cell: 3.9971 3.9971 7.1885 Å, 106.14 106.14 90.00°
Closest atoms and distances in Å follow each position.
Sites, in units of the cell vectors:
Te 0.5108 0.5108 0.0216  4 Pu 3.49, 4 Sr 3.55, 4 O 3.60
Sr 0.8485 0.8485 0.6970  4 O 2.48
O 0.2373 0.7373 0.4747  2 Pu 2.21
O 0.7373 0.2373 0.4747  2 Pu 2.21
Pu 0.1661 0.1661 0.3321  4 O 2.21